*a*
Entry from Alexandria: a relaxed Ac5La4Y crystal (PBE).

Geometry as extended XYZ:
```
20
Lattice="7.451 0.000 0.000 0.000 12.944 0.000 0.000 0.000 8.968" Properties=species:S:1:pos:R:3 pbc="T T T"
Ac 0.009 1.310 1.269
Ac 0.009 5.162 1.269
Ac 1.863 9.708 5.132
Ac 3.716 1.310 1.269
Ac 3.716 5.162 1.269
Ac 3.735 7.782 7.698
Ac 3.735 11.635 7.698
Ac 5.588 3.236 3.836
Ac 7.442 7.782 7.698
Ac 7.442 11.635 7.698
La 0.044 3.236 6.832
La 1.863 0.138 4.580
La 1.863 6.334 4.580
La 3.682 3.236 6.832
La 3.769 9.708 2.136
La 5.588 6.610 4.388
La 5.588 12.806 4.388
La 7.407 9.708 2.136
Y 1.863 3.236 3.699
Y 5.588 9.708 5.269
```

Results
- SG: Pmmn, No. 59
- Size of the total moment: 0.000 μB/f.u.

*b*
Entry from Alexandria: a relaxed Ac5La4Y crystal (PBE).

Geometry as extended XYZ:
```
10
Lattice="3.884 0.000 0.000 0.000 3.884 0.000 0.000 0.000 26.724" Properties=species:S:1:pos:R:3 pbc="T T T"
Ac 0.000 0.000 0.000
Ac 0.000 0.000 5.419
Ac 0.000 0.000 10.814
Ac 0.000 0.000 15.910
Ac 0.000 0.000 21.305
La 1.942 1.942 2.716
La 1.942 1.942 8.137
La 1.942 1.942 18.587
La 1.942 1.942 24.008
Y 1.942 1.942 13.362
```

Results
- SG: P4/mmm, No. 123
- Size of the total moment: 0.000 μB/f.u.

The structure with the greatest stability is *b*.

*a*
Entry from Alexandria: a relaxed Ac6LaY crystal (PBE).

Geometry as extended XYZ:
```
8
Lattice="8.713 -3.213 0.000 8.713 3.213 0.000 -2.475 0.000 6.105" Properties=species:S:1:pos:R:3 pbc="T T T"
Ac 1.917 0.000 0.516
Ac 2.670 0.000 4.276
Ac 5.740 0.000 2.035
Ac 9.212 0.000 4.070
Ac 12.282 0.000 1.829
Ac 13.035 0.000 5.589
La -1.237 0.000 3.053
Y 8.713 0.000 0.000
```

Results
- SG: C2/m, No. 12
- Size of the total moment: 0.000 μB/f.u.

*b*
Entry from Alexandria: a relaxed Ac6LaY crystal (PBE).

Geometry as extended XYZ:
```
8
Lattice="5.524 0.000 0.000 0.000 5.524 0.000 0.000 0.000 11.074" Properties=species:S:1:pos:R:3 pbc="T T T"
Ac 0.000 0.000 0.000
Ac 0.000 0.000 5.537
Ac 0.000 2.762 2.742
Ac 0.000 2.762 8.332
Ac 2.762 0.000 2.742
Ac 2.762 0.000 8.332
La 2.762 2.762 5.537
Y 2.762 2.762 0.000
```

Results
- SG: P4/mmm, No. 123
- Size of the total moment: 0.000 μB/f.u.

The structure with the greatest stability is *b*.

*a*
Entry from Alexandria: a relaxed AcLa2Zn crystal (PBE).

Geometry as extended XYZ:
```
4
Lattice="1.941 1.121 10.858 -1.941 1.121 10.858 0.000 -2.242 10.858" Properties=species:S:1:pos:R:3 pbc="T T T"
Ac 0.000 0.000 0.000
La 0.000 0.000 18.515
La 0.000 0.000 24.929
Zn 0.000 0.000 5.427
```

Results
- SG: R3m, No. 160
- Size of the total moment: 0.000 μB/f.u.

*b*
Entry from Alexandria: a relaxed AcLa2Zn crystal (PBE).

Geometry as extended XYZ:
```
4
Lattice="3.824 0.000 0.000 0.000 3.824 0.000 0.000 0.000 9.133" Properties=species:S:1:pos:R:3 pbc="T T T"
Ac 0.000 0.000 0.000
La 1.912 1.912 2.741
La 1.912 1.912 6.392
Zn 0.000 0.000 4.567
```

Results
- SG: P4/mmm, No. 123
- Size of the total moment: 0.000 μB/f.u.

The structure with the greatest stability is *b*.